Compound: BaNa2Tl2In2
Source: the Alexandria database
Functional: PBE-GGA
Structure: optimized geometry

calculated formation energy = -0.219 eV per atom
N(E_F) = 12.942 states/eV/cell

Cell and atoms, written as CIF:
```
data_BaNa2Tl2In2
_chemical_formula_sum 'Ba3 Na6 Tl6 In6'
_cell_length_a 5.1602
_cell_length_b 5.1602
_cell_length_c 28.6215
_cell_angle_alpha 90.00
_cell_angle_beta 90.00
_cell_angle_gamma 120.00
_space_group_name_H-M_alt 'R -3 m'
_space_group_IT_number 166
_space_group_name_Hall '-R 3 2"'
loop_
_atom_site_label
_atom_site_fract_x
_atom_site_fract_y
_atom_site_fract_z
Ba1 0.0000 0.0000 0.0000
Na1 0.0000 0.0000 0.1422
Tl1 0.0000 0.0000 0.4322
In1 0.0000 0.0000 0.2605
```

=====

Compound: VCoH2W
Source: the Alexandria database
Functional: PBE-GGA
Structure: optimized geometry

N(E_F) = 3.438 states/eV/cell

Cell and atoms, written as CIF:
```
data_VCoH2W
_chemical_formula_sum 'V1 Co1 H2 W1'
_cell_length_a 3.415
_cell_length_b 3.415
_cell_length_c 4.611
_cell_angle_alpha 90.00
_cell_angle_beta 90.00
_cell_angle_gamma 90.00
_space_group_name_H-M_alt 'P 4/m m m'
_space_group_IT_number 123
_space_group_name_Hall '-P 4 2'
loop_
_atom_site_label
_atom_site_fract_x
_atom_site_fract_y
_atom_site_fract_z
V1 0.000 0.000 0.000
Co1 0.000 0.000 0.500
H1 0.000 0.500 0.500
W1 0.500 0.500 0.000
```

=====

Compound: CsBiH2F8
Source: the Alexandria database
Functional: PBE-GGA
Structure: optimized geometry

N(E_F) = 0.000 states/eV/cell

Cell and atoms, written as CIF:
```
data_CsBiH2F8
_chemical_formula_sum 'Cs1 Bi1 H2 F8'
_cell_length_a 5.254
_cell_length_b 5.278
_cell_length_c 8.767
_cell_angle_alpha 94.39
_cell_angle_beta 99.01
_cell_angle_gamma 111.90
_space_group_name_H-M_alt 'P -1'
_space_group_IT_number 2
loop_
_space_group_symop_operation_xyz
'x,y,z'
'-x,-y,-z'
loop_
_atom_site_label
_atom_site_fract_x
_atom_site_fract_y
_atom_site_fract_z
Cs1 0.000 0.000 0.000
Bi1 0.000 0.000 0.500
H1 0.310 0.526 0.797
F1 0.208 0.218 0.344
F2 0.233 0.768 0.503
F3 0.281 0.267 0.695
F4 0.333 0.661 0.886
```

=====

Compound: LiAc2Ge2Ir
Source: the Alexandria database
Functional: PBE-GGA
Structure: optimized geometry

calculated formation energy = -0.604 eV per atom
N(E_F) = 9.898 states/eV/cell

Cell and atoms, written as CIF:
```
data_LiAc2Ge2Ir
_chemical_formula_sum 'Li4 Ac8 Ge8 Ir4'
_cell_length_a 6.372
_cell_length_b 14.847
_cell_length_c 6.164
_cell_angle_alpha 90.00
_cell_angle_beta 90.00
_cell_angle_gamma 90.00
_space_group_name_H-M_alt 'I b a m'
_space_group_IT_number 72
_space_group_name_Hall '-I 2 2c'
loop_
_atom_site_label
_atom_site_fract_x
_atom_site_fract_y
_atom_site_fract_z
Li1 0.000 0.000 0.250
Ac1 0.243 0.342 0.000
Ge1 0.248 0.406 0.500
Ir1 0.000 0.500 0.250
```

=====

Compound: LiLa4Ga2
Source: the Alexandria database
Functional: PBE-GGA
Structure: optimized geometry

calculated formation energy = -0.314 eV per atom
energy above the lowest structure with this stoichiometry = 0 meV/atom
N(E_F) = 21.758 states/eV/cell

Cell and atoms, written as CIF:
```
data_LiLa4Ga2
_chemical_formula_sum 'Li3 La12 Ga6'
_cell_length_a 5.2949
_cell_length_b 5.2949
_cell_length_c 25.3193
_cell_angle_alpha 90.00
_cell_angle_beta 90.00
_cell_angle_gamma 120.00
_space_group_name_H-M_alt 'R -3 m'
_space_group_IT_number 166
_space_group_name_Hall '-R 3 2"'
loop_
_atom_site_label
_atom_site_fract_x
_atom_site_fract_y
_atom_site_fract_z
Li1 0.0000 0.0000 0.0000
La1 0.0000 0.0000 0.1330
La2 0.0000 0.0000 0.3862
Ga1 0.0000 0.0000 0.2587
```

=====

Compound: Tm3AlC
Source: the Alexandria database
Functional: PBE-GGA
Structure: optimized geometry

calculated formation energy = 1.452 eV per atom
energy above the lowest structure with this stoichiometry = 1904 meV/atom
N(E_F) = 4.502 states/eV/cell

Cell and atoms, written as CIF:
```
data_Tm3AlC
_chemical_formula_sum 'Tm3 Al1 C1'
_cell_length_a 5.286
_cell_length_b 5.286
_cell_length_c 5.286
_cell_angle_alpha 90.00
_cell_angle_beta 90.00
_cell_angle_gamma 90.00
_space_group_name_H-M_alt 'P m -3 m'
_space_group_IT_number 221
_space_group_name_Hall '-P 4 2 3'
loop_
_atom_site_label
_atom_site_fract_x
_atom_site_fract_y
_atom_site_fract_z
Tm1 0.000 0.000 0.500
Al1 0.000 0.000 0.000
C1 0.500 0.500 0.500
```

=====

Compound: RbAc2Cd2Sn2
Source: the Alexandria database
Functional: PBE-GGA
Structure: optimized geometry

calculated formation energy = -0.241 eV per atom
N(E_F) = 16.333 states/eV/cell

Cell and atoms, written as CIF:
```
data_RbAc2Cd2Sn2
_chemical_formula_sum 'Rb3 Ac6 Cd6 Sn6'
_cell_length_a 5.2564
_cell_length_b 5.2564
_cell_length_c 33.1111
_cell_angle_alpha 90.00
_cell_angle_beta 90.00
_cell_angle_gamma 120.00
_space_group_name_H-M_alt 'R -3 m'
_space_group_IT_number 166
_space_group_name_Hall '-R 3 2"'
loop_
_atom_site_label
_atom_site_fract_x
_atom_site_fract_y
_atom_site_fract_z
Rb1 0.0000 0.0000 0.0000
Ac1 0.0000 0.0000 0.1318
Cd1 0.0000 0.0000 0.4205
Sn1 0.0000 0.0000 0.2490
```

=====

Compound: Pm5Sn5Ge2
Source: the Alexandria database
Functional: PBE-GGA
Structure: optimized geometry

calculated formation energy = -0.582 eV per atom
N(E_F) = 14.806 states/eV/cell

Cell and atoms, written as CIF:
```
data_Pm5Sn5Ge2
_chemical_formula_sum 'Pm10 Sn10 Ge4'
_cell_length_a 17.211
_cell_length_b 4.512
_cell_length_c 10.178
_cell_angle_alpha 90.00
_cell_angle_beta 123.33
_cell_angle_gamma 90.00
_space_group_name_H-M_alt 'C 1 2/m 1'
_space_group_IT_number 12
loop_
_space_group_symop_operation_xyz
'x,y,z'
'-x,-y,-z'
'-x,y,-z'
'x,-y,z'
'x+1/2,y+1/2,z'
'-x+1/2,-y+1/2,-z'
'-x+1/2,y+1/2,-z'
'x+1/2,-y+1/2,z'
loop_
_atom_site_label
_atom_site_fract_x
_atom_site_fract_y
_atom_site_fract_z
Pm1 0.000 0.000 0.000
Pm2 0.111 0.000 0.792
Pm3 0.242 0.500 0.654
Sn1 0.000 0.500 0.500
Sn2 0.090 0.500 0.265
Sn3 0.170 0.500 0.060
Ge1 0.102 0.000 0.443
```

=====

Compound: LaTl4Cu
Source: the Alexandria database
Functional: PBE-GGA
Structure: optimized geometry

calculated formation energy = 0.232 eV per atom
N(E_F) = 18.874 states/eV/cell

Cell and atoms, written as CIF:
```
data_LaTl4Cu
_chemical_formula_sum 'La4 Tl16 Cu4'
_cell_length_a 8.897
_cell_length_b 8.897
_cell_length_c 8.897
_cell_angle_alpha 90.00
_cell_angle_beta 90.00
_cell_angle_gamma 90.00
_space_group_name_H-M_alt 'F -4 3 m'
_space_group_IT_number 216
_space_group_name_Hall 'F -4 2 3'
loop_
_atom_site_label
_atom_site_fract_x
_atom_site_fract_y
_atom_site_fract_z
La1 0.000 0.000 0.000
Tl1 0.125 0.125 0.625
Cu1 0.250 0.250 0.250
```

=====

Compound: PtWSeN2
Source: the Alexandria database
Functional: PBE-GGA
Structure: optimized geometry

energy above the lowest structure with this stoichiometry = 1034 meV/atom
N(E_F) = 4.706 states/eV/cell
uncorrected formation energy = 1.658 eV/atom

Cell and atoms, written as CIF:
```
data_PtWSeN2
_chemical_formula_sum 'Pt1 W1 Se1 N2'
_cell_length_a 3.722
_cell_length_b 3.722
_cell_length_c 8.121
_cell_angle_alpha 90.00
_cell_angle_beta 90.00
_cell_angle_gamma 90.00
_space_group_name_H-M_alt 'P 4/m m m'
_space_group_IT_number 123
_space_group_name_Hall '-P 4 2'
loop_
_atom_site_label
_atom_site_fract_x
_atom_site_fract_y
_atom_site_fract_z
Pt1 0.000 0.000 0.000
W1 0.500 0.500 0.500
Se1 0.000 0.000 0.500
N1 0.000 0.500 0.000
```

=====

Compound: Tl2CoBi2
Source: the Alexandria database
Functional: PBE-GGA
Structure: optimized geometry

calculated formation energy = 0.236 eV per atom
N(E_F) = 4.034 states/eV/cell

Cell and atoms, written as CIF:
```
data_Tl2CoBi2
_chemical_formula_sum 'Tl4 Co2 Bi4'
_cell_length_a 6.877
_cell_length_b 6.877
_cell_length_c 6.075
_cell_angle_alpha 90.00
_cell_angle_beta 90.00
_cell_angle_gamma 90.00
_space_group_name_H-M_alt 'P 4/m b m'
_space_group_IT_number 127
_space_group_name_Hall '-P 4 2ab'
loop_
_atom_site_label
_atom_site_fract_x
_atom_site_fract_y
_atom_site_fract_z
Tl1 0.175 0.325 0.000
Co1 0.000 0.000 0.500
Bi1 0.159 0.659 0.500
```

=====

Compound: CoSbCl2
Source: the Alexandria database
Functional: PBE-GGA
Structure: optimized geometry

energy above the lowest structure with this stoichiometry = 62 meV/atom
N(E_F) = 3.976 states/eV/cell
uncorrected formation energy = -0.194 eV/atom

Cell and atoms, written as CIF:
```
data_CoSbCl2
_chemical_formula_sum 'Co2 Sb2 Cl4'
_cell_length_a 9.535
_cell_length_b 3.366
_cell_length_c 6.785
_cell_angle_alpha 90.00
_cell_angle_beta 105.48
_cell_angle_gamma 90.00
_space_group_name_H-M_alt 'C 1 m 1'
_space_group_IT_number 8
loop_
_space_group_symop_operation_xyz
'x,y,z'
'x,-y,z'
'x+1/2,y+1/2,z'
'x+1/2,-y+1/2,z'
loop_
_atom_site_label
_atom_site_fract_x
_atom_site_fract_y
_atom_site_fract_z
Co1 0.000 0.000 0.000
Sb1 0.213 0.500 0.029
Cl1 0.056 0.500 0.291
Cl2 0.382 0.000 0.764
```

=====

The evaluated final energy for the records listed, in turn: -2.33 -6.19 -4.19 -5.31 -4.27 -3.82 -2.96 -5.00 -2.85 -6.17 -3.68 -3.92 eV/atom.
The evaluated volume for the records listed, in turn: 31.430 10.753 18.364 24.296 29.274 29.545 37.727 27.516 29.344 22.502 28.725 26.232 Å³/atom.
The evaluated density for the records listed, in turn: 6202 9134 3737 9095 5689 6135 6298 7362 9620 7171 10240 3982 kg/m³.